The following is a DFT calculation (PBE with a Hubbard U) of Rb2CrHF6 after structural relaxation.

Unit cell a=6.7951 b=6.7951 c=5.8071 alpha=54.19 beta=54.19 gamma=90.00
Last column: nearest neighbours and their distance in Å.
Positions (direct):
Cr1 0.0000 0.0000 0.0000  6 F 1.92-2.09
H1 0.5000 0.5000 0.0000  2 F 1.17
Rb1 0.7500 0.2500 0.5000  8 F 2.94, 2 Rb 3.26
Rb2 0.2500 0.7500 0.5000  8 F 2.94, 2 Rb 3.26
F1 0.3209 0.3209 0.3583  1 H 1.17
F2 0.6791 0.6791 0.6417  1 H 1.17
F3 0.1996 0.1996 0.0000  1 Cr 1.92
F4 0.8004 0.8004 0.0000  1 Cr 1.92
F5 0.8004 0.1996 0.0000  1 Cr 1.92
F6 0.1996 0.8004 0.0000  1 Cr 1.92

Total DFT energy (no corrections)   -49.3 eV per formula unit
DOS(E_F)   0.000 states/eV/atom